! Sc2GeHRu (PBE-GGA, optimized geometry); values from VASP
&SYSTEM
  ibrav = 0, nat = 5, ntyp = 4
/
ATOMIC_SPECIES
Sc 44.96 Sc.upf
Ge 72.64 Ge.upf
H 1.01 H.upf
Ru 101.07 Ru.upf
ATOMIC_POSITIONS angstrom
Sc 0.0000 2.2376 0.0000
Sc 2.2376 0.0000 0.0000
Ge 0.0000 0.0000 1.8174
H 2.2376 2.2376 0.0000
Ru 2.2376 2.2376 1.8174
CELL_PARAMETERS angstrom
4.4752 0.0000 0.0000
0.0000 4.4752 0.0000
0.0000 0.0000 3.6349
! * DFT total energy: -0.2423 Ha/atom
! * total magnetic moment: 0.00 Bohr magnetons per cell